[1]
## K3HfRe (PBE)

Data for a relaxed K3HfRe crystal.

Properties
- SG: Pm-3m (221)
- Energy above the lowest structure with this stoichiometry: 0.00 kJ/mol of atoms
- Formation energy from the elements: 2.499 eV/atom
- Total magnetization: 0.0 μB/f.u.

a = 5.971 Å, b = 5.971 Å, c = 5.971 Å
α = 90.00°, β = 90.00°, γ = 90.00°
Fractional coordinates of all 5 atoms:
K 0.000 0.000 0.500
K 0.000 0.500 0.000
K 0.500 0.000 0.000
Hf 0.500 0.500 0.500
Re 0.000 0.000 0.000


[2]
## KHf2Re (PBE)

Data for a relaxed KHf2Re crystal.

Properties
- SG: Fm-3m (225)
- Energy above the lowest structure with this stoichiometry: 0.00 kJ/mol of atoms
- Formation energy from the elements: 0.834 eV/atom
- Total magnetization: 0.0 μB/f.u.

a = 4.896 Å, b = 4.896 Å, c = 4.896 Å
α = 60.00°, β = 60.00°, γ = 60.00°
Fractional coordinates of all 4 atoms:
K 0.000 0.000 0.000
Hf 0.250 0.250 0.250
Hf 0.750 0.750 0.750
Re 0.500 0.500 0.500


[3]
## KHfRe2 (PBE)

Data for a relaxed KHfRe2 crystal.

Properties
- SG: I-42d (122)
- Energy above the lowest structure with this stoichiometry: 5.88 kJ/mol of atoms
- Formation energy from the elements: 1.596 eV/atom
- Total magnetization: 0.0 μB/f.u.

a = 10.083 Å, b = 10.083 Å, c = 10.083 Å
α = 152.67°, β = 152.67°, γ = 39.03°
Fractional coordinates of all 8 atoms:
K 0.000 0.000 0.000
K 0.750 0.250 0.500
Hf 0.250 0.750 0.500
Hf 0.500 0.500 0.000
Re 0.302 0.125 0.677
Re 0.375 0.698 0.823
Re 0.448 0.625 0.323
Re 0.875 0.552 0.177


[4]
## K3HfRe (PBE)

Data for a relaxed K3HfRe crystal.

Properties
- SG: Pm-3m (221)
- Energy above the lowest structure with this stoichiometry: 1.80 kJ/mol of atoms
- Formation energy from the elements: 2.518 eV/atom
- Total magnetization: 9.1 μB/f.u.

a = 6.512 Å, b = 6.512 Å, c = 6.512 Å
α = 90.00°, β = 90.00°, γ = 90.00°
Fractional coordinates of all 5 atoms:
K 0.000 0.000 0.500
K 0.000 0.500 0.000
K 0.500 0.000 0.000
Hf 0.000 0.000 0.000
Re 0.500 0.500 0.500


[5]
## KHf2Rh (PBE)

Data for a relaxed KHf2Rh crystal.

Properties
- SG: Fm-3m (225)
- Energy above the lowest structure with this stoichiometry: 0.00 kJ/mol of atoms
- Formation energy from the elements: 0.545 eV/atom
- Total magnetization: 0.0 μB/f.u.

a = 4.870 Å, b = 4.870 Å, c = 4.870 Å
α = 60.00°, β = 60.00°, γ = 60.00°
Fractional coordinates of all 4 atoms:
K 0.000 0.000 0.000
Hf 0.250 0.250 0.250
Hf 0.750 0.750 0.750
Rh 0.500 0.500 0.500


[6]
## K3HfRh (PBE)

Data for a relaxed K3HfRh crystal.

Properties
- SG: Pm-3m (221)
- Energy above the lowest structure with this stoichiometry: 40.10 kJ/mol of atoms
- Formation energy from the elements: 1.909 eV/atom
- Total magnetization: 2.0 μB/f.u.

a = 6.542 Å, b = 6.542 Å, c = 6.542 Å
α = 90.00°, β = 90.00°, γ = 90.00°
Fractional coordinates of all 5 atoms:
K 0.000 0.000 0.500
K 0.000 0.500 0.000
K 0.500 0.000 0.000
Hf 0.000 0.000 0.000
Rh 0.500 0.500 0.500


[7]
## K3HfRh (PBE)

Data for a relaxed K3HfRh crystal.

Properties
- SG: Pm-3m (221)
- Energy above the lowest structure with this stoichiometry: 0.00 kJ/mol of atoms
- Formation energy from the elements: 1.494 eV/atom
- Total magnetization: 0.0 μB/f.u.

a = 5.903 Å, b = 5.903 Å, c = 5.903 Å
α = 90.00°, β = 90.00°, γ = 90.00°
Fractional coordinates of all 5 atoms:
K 0.000 0.000 0.500
K 0.000 0.500 0.000
K 0.500 0.000 0.000
Hf 0.500 0.500 0.500
Rh 0.000 0.000 0.000


[8]
## KHfRh3 (PBE)

Data for a relaxed KHfRh3 crystal.

Properties
- SG: Pm-3m (221)
- Energy above the lowest structure with this stoichiometry: 109.33 kJ/mol of atoms
- Formation energy from the elements: 1.698 eV/atom
- Total magnetization: 0.0 μB/f.u.

a = 4.615 Å, b = 4.615 Å, c = 4.615 Å
α = 90.00°, β = 90.00°, γ = 90.00°
Fractional coordinates of all 5 atoms:
K 0.000 0.000 0.000
Hf 0.500 0.500 0.500
Rh 0.000 0.000 0.500
Rh 0.000 0.500 0.000
Rh 0.500 0.000 0.000


[9]
## KHfRh2 (PBE)

Data for a relaxed KHfRh2 crystal.

Properties
- SG: I-42d (122)
- Energy above the lowest structure with this stoichiometry: 13.94 kJ/mol of atoms
- Formation energy from the elements: 0.328 eV/atom
- Total magnetization: 0.0 μB/f.u.

a = 6.150 Å, b = 6.150 Å, c = 6.150 Å
α = 105.42°, β = 105.42°, γ = 117.92°
Fractional coordinates of all 8 atoms:
K 0.000 0.000 0.000
K 0.750 0.250 0.500
Hf 0.250 0.750 0.500
Hf 0.500 0.500 0.000
Rh 0.171 0.125 0.546
Rh 0.375 0.829 0.954
Rh 0.579 0.625 0.454
Rh 0.875 0.421 0.046


[10]
## KHfRh2 (PBE)

Data for a relaxed KHfRh2 crystal.

Properties
- SG: Fm-3m (225)
- Energy above the lowest structure with this stoichiometry: 0.00 kJ/mol of atoms
- Formation energy from the elements: 0.183 eV/atom
- Total magnetization: 0.0 μB/f.u.

a = 4.731 Å, b = 4.731 Å, c = 4.731 Å
α = 60.00°, β = 60.00°, γ = 60.00°
Fractional coordinates of all 4 atoms:
K 0.000 0.000 0.000
Hf 0.500 0.500 0.500
Rh 0.250 0.250 0.250
Rh 0.750 0.750 0.750


[11]
## KHf2Rh (PBE)

Data for a relaxed KHf2Rh crystal.

Properties
- SG: I4_1/amd (141)
- Energy above the lowest structure with this stoichiometry: 35.84 kJ/mol of atoms
- Formation energy from the elements: 0.916 eV/atom
- Total magnetization: 0.0 μB/f.u.

a = 9.190 Å, b = 9.190 Å, c = 9.190 Å
α = 141.87°, β = 141.87°, γ = 55.02°
Fractional coordinates of all 8 atoms:
K 0.375 0.625 0.750
K 0.625 0.375 0.250
Hf 0.000 0.000 0.000
Hf 0.000 0.000 0.500
Hf 0.000 0.500 0.000
Hf 0.500 0.000 0.500
Rh 0.125 0.875 0.250
Rh 0.875 0.125 0.750


[12]
## KHfRh3 (PBE)

Data for a relaxed KHfRh3 crystal.

Properties
- SG: Pm-3m (221)
- Energy above the lowest structure with this stoichiometry: 0.00 kJ/mol of atoms
- Formation energy from the elements: 0.565 eV/atom
- Total magnetization: 0.4 μB/f.u.

a = 4.916 Å, b = 4.916 Å, c = 4.916 Å
α = 90.00°, β = 90.00°, γ = 90.00°
Fractional coordinates of all 5 atoms:
K 0.000 0.000 0.000
Hf 0.500 0.500 0.500
Rh 0.000 0.500 0.500
Rh 0.500 0.000 0.500
Rh 0.500 0.500 0.000


[13]
## KHfRhSe3 (PBE)

Data for a relaxed KHfRhSe3 crystal.

Properties
- SG: P2_1/m (11)
- ΔE_f (raw): -1057.3 meV/atom
- Total magnetization: 0.0 μB/f.u.

a = 8.753 Å, b = 3.846 Å, c = 9.729 Å
α = 90.00°, β = 111.29°, γ = 90.00°
Fractional coordinates of all 12 atoms:
K 0.221 0.250 0.250
K 0.779 0.750 0.750
Hf 0.311 0.750 0.834
Hf 0.689 0.250 0.166
Rh 0.091 0.250 0.595
Rh 0.909 0.750 0.405
Se 0.113 0.250 0.864
Se 0.238 0.750 0.546
Se 0.459 0.750 0.141
Se 0.541 0.250 0.859
Se 0.762 0.250 0.454
Se 0.887 0.750 0.136


[14]
## KHfTeRh2 (PBE)

Data for a relaxed KHfTeRh2 crystal.

Properties
- SG: P4/mmm (123)
- ΔE_f (raw): 231.5 meV/atom
- Total magnetization: 0.0 μB/f.u.

a = 4.915 Å, b = 4.915 Å, c = 5.676 Å
α = 90.00°, β = 90.00°, γ = 90.00°
Fractional coordinates of all 5 atoms:
K 0.000 0.000 0.000
Hf 0.500 0.500 0.500
Te 0.500 0.500 0.000
Rh 0.000 0.500 0.500
Rh 0.500 0.000 0.500


[15]
## KHfZnRh2 (PBE)

Data for a relaxed KHfZnRh2 crystal.

Properties
- SG: P4/mmm (123)
- Formation energy from the elements: 0.849 eV/atom
- Total magnetization: 0.0 μB/f.u.

a = 4.808 Å, b = 4.808 Å, c = 6.477 Å
α = 90.00°, β = 90.00°, γ = 90.00°
Fractional coordinates of all 5 atoms:
K 0.000 0.000 0.000
Hf 0.000 0.000 0.500
Zn 0.500 0.500 0.000
Rh 0.000 0.500 0.500
Rh 0.500 0.000 0.500


[16]
## K2HfZnRh (PBE)

Data for a relaxed K2HfZnRh crystal.

Properties
- SG: P4/mmm (123)
- Formation energy from the elements: 0.648 eV/atom
- Total magnetization: 0.0 μB/f.u.

a = 6.410 Å, b = 6.410 Å, c = 4.790 Å
α = 90.00°, β = 90.00°, γ = 90.00°
Fractional coordinates of all 5 atoms:
K 0.000 0.500 0.000
K 0.500 0.000 0.000
Hf 0.000 0.000 0.500
Zn 0.500 0.500 0.500
Rh 0.000 0.000 0.000


[17]
## KHfRu3 (PBE)

Data for a relaxed KHfRu3 crystal.

Properties
- SG: Pm-3m (221)
- Energy above the lowest structure with this stoichiometry: 0.00 kJ/mol of atoms
- Formation energy from the elements: 1.394 eV/atom
- Total magnetization: 3.7 μB/f.u.

a = 4.947 Å, b = 4.947 Å, c = 4.947 Å
α = 90.00°, β = 90.00°, γ = 90.00°
Fractional coordinates of all 5 atoms:
K 0.000 0.000 0.000
Hf 0.500 0.500 0.500
Ru 0.000 0.500 0.500
Ru 0.500 0.000 0.500
Ru 0.500 0.500 0.000


[18]
## KHf2Ru2 (PBE)

Data for a relaxed KHf2Ru2 crystal.

Properties
- SG: I4/mmm (139)
- Energy above the lowest structure with this stoichiometry: 21.03 kJ/mol of atoms
- Formation energy from the elements: 0.274 eV/atom
- Total magnetization: 0.0 μB/f.u.

a = 7.312 Å, b = 7.312 Å, c = 7.312 Å
α = 145.60°, β = 145.60°, γ = 49.44°
Fractional coordinates of all 5 atoms:
K 0.000 0.000 0.000
Hf 0.355 0.355 0.000
Hf 0.645 0.645 0.000
Ru 0.250 0.750 0.500
Ru 0.750 0.250 0.500


[19]
## KHf2Ru2 (PBE)

Data for a relaxed KHf2Ru2 crystal.

Properties
- SG: P4/mbm (127)
- Energy above the lowest structure with this stoichiometry: 0.00 kJ/mol of atoms
- Formation energy from the elements: 0.056 eV/atom
- Total magnetization: 0.0 μB/f.u.

a = 8.127 Å, b = 8.127 Å, c = 3.112 Å
α = 90.00°, β = 90.00°, γ = 90.00°
Fractional coordinates of all 10 atoms:
K 0.000 0.000 0.000
K 0.500 0.500 0.000
Hf 0.136 0.364 0.000
Hf 0.364 0.864 0.000
Hf 0.636 0.136 0.000
Hf 0.864 0.636 0.000
Ru 0.139 0.639 0.500
Ru 0.361 0.139 0.500
Ru 0.639 0.861 0.500
Ru 0.861 0.361 0.500


[20]
## KHf3Ru (PBE)

Data for a relaxed KHf3Ru crystal.

Properties
- SG: Pm-3m (221)
- Energy above the lowest structure with this stoichiometry: 0.00 kJ/mol of atoms
- Formation energy from the elements: 0.522 eV/atom
- Total magnetization: 0.0 μB/f.u.

a = 5.122 Å, b = 5.122 Å, c = 5.122 Å
α = 90.00°, β = 90.00°, γ = 90.00°
Fractional coordinates of all 5 atoms:
K 0.000 0.000 0.000
Hf 0.000 0.500 0.500
Hf 0.500 0.000 0.500
Hf 0.500 0.500 0.000
Ru 0.500 0.500 0.500


[21]
## K2HfRu (PBE)

Data for a relaxed K2HfRu crystal.

Properties
- SG: Fm-3m (225)
- Energy above the lowest structure with this stoichiometry: 87.42 kJ/mol of atoms
- Formation energy from the elements: 1.890 eV/atom
- Total magnetization: 0.0 μB/f.u.

a = 5.349 Å, b = 5.349 Å, c = 5.349 Å
α = 60.00°, β = 60.00°, γ = 60.00°
Fractional coordinates of all 4 atoms:
K 0.250 0.250 0.250
K 0.750 0.750 0.750
Hf 0.000 0.000 0.000
Ru 0.500 0.500 0.500


[22]
## KHf2Ru (PBE)

Data for a relaxed KHf2Ru crystal.

Properties
- SG: Fm-3m (225)
- Energy above the lowest structure with this stoichiometry: 0.00 kJ/mol of atoms
- Formation energy from the elements: 0.671 eV/atom
- Total magnetization: 0.0 μB/f.u.

a = 4.874 Å, b = 4.874 Å, c = 4.874 Å
α = 60.00°, β = 60.00°, γ = 60.00°
Fractional coordinates of all 4 atoms:
K 0.000 0.000 0.000
Hf 0.250 0.250 0.250
Hf 0.750 0.750 0.750
Ru 0.500 0.500 0.500


[23]
## KHf2Ru (PBE)

Data for a relaxed KHf2Ru crystal.

Properties
- SG: I4_1/amd (141)
- Energy above the lowest structure with this stoichiometry: 38.96 kJ/mol of atoms
- Formation energy from the elements: 1.074 eV/atom
- Total magnetization: 0.0 μB/f.u.

a = 8.787 Å, b = 8.787 Å, c = 8.787 Å
α = 137.68°, β = 137.68°, γ = 61.40°
Fractional coordinates of all 8 atoms:
K 0.375 0.625 0.750
K 0.625 0.375 0.250
Hf 0.000 0.000 0.000
Hf 0.000 0.000 0.500
Hf 0.000 0.500 0.000
Hf 0.500 0.000 0.500
Ru 0.125 0.875 0.250
Ru 0.875 0.125 0.750


[24]
## KHfRu2 (PBE)

Data for a relaxed KHfRu2 crystal.

Properties
- SG: I-42d (122)
- Energy above the lowest structure with this stoichiometry: 25.56 kJ/mol of atoms
- Formation energy from the elements: 1.066 eV/atom
- Total magnetization: 0.0 μB/f.u.

a = 9.579 Å, b = 9.579 Å, c = 9.579 Å
α = 149.88°, β = 149.88°, γ = 43.12°
Fractional coordinates of all 8 atoms:
K 0.000 0.000 0.000
K 0.750 0.250 0.500
Hf 0.250 0.750 0.500
Hf 0.500 0.500 0.000
Ru 0.347 0.625 0.222
Ru 0.375 0.597 0.722
Ru 0.403 0.125 0.778
Ru 0.875 0.653 0.278


[25]
## KHfRu3 (PBE)

Data for a relaxed KHfRu3 crystal.

Properties
- SG: Pm-3m (221)
- Energy above the lowest structure with this stoichiometry: 88.79 kJ/mol of atoms
- Formation energy from the elements: 2.315 eV/atom
- Total magnetization: 0.0 μB/f.u.

a = 4.535 Å, b = 4.535 Å, c = 4.535 Å
α = 90.00°, β = 90.00°, γ = 90.00°
Fractional coordinates of all 5 atoms:
K 0.000 0.000 0.000
Hf 0.500 0.500 0.500
Ru 0.000 0.000 0.500
Ru 0.000 0.500 0.000
Ru 0.500 0.000 0.000


[26]
## KHfRu2 (PBE)

Data for a relaxed KHfRu2 crystal.

Properties
- SG: Fm-3m (225)
- Energy above the lowest structure with this stoichiometry: 0.00 kJ/mol of atoms
- Formation energy from the elements: 0.801 eV/atom
- Total magnetization: 0.0 μB/f.u.

a = 4.708 Å, b = 4.708 Å, c = 4.708 Å
α = 60.00°, β = 60.00°, γ = 60.00°
Fractional coordinates of all 4 atoms:
K 0.000 0.000 0.000
Hf 0.500 0.500 0.500
Ru 0.250 0.250 0.250
Ru 0.750 0.750 0.750


[27]
## K2HfRu (PBE)

Data for a relaxed K2HfRu crystal.

Properties
- SG: I-42d (122)
- Energy above the lowest structure with this stoichiometry: 0.00 kJ/mol of atoms
- Formation energy from the elements: 0.984 eV/atom
- Total magnetization: 0.0 μB/f.u.

a = 9.177 Å, b = 9.177 Å, c = 9.177 Å
α = 93.74°, β = 93.74°, γ = 150.42°
Fractional coordinates of all 8 atoms:
K 0.375 0.218 0.343
K 0.782 0.125 0.157
K 0.875 0.032 0.657
K 0.968 0.625 0.843
Hf 0.250 0.750 0.500
Hf 0.500 0.500 0.000
Ru 0.000 0.000 0.000
Ru 0.750 0.250 0.500


[28]
## KHf3Ru (PBE)

Data for a relaxed KHf3Ru crystal.

Properties
- SG: Pm-3m (221)
- Energy above the lowest structure with this stoichiometry: 173.83 kJ/mol of atoms
- Formation energy from the elements: 2.324 eV/atom
- Total magnetization: 0.0 μB/f.u.

a = 4.713 Å, b = 4.713 Å, c = 4.713 Å
α = 90.00°, β = 90.00°, γ = 90.00°
Fractional coordinates of all 5 atoms:
K 0.000 0.000 0.000
Hf 0.000 0.000 0.500
Hf 0.000 0.500 0.000
Hf 0.500 0.000 0.000
Ru 0.500 0.500 0.500